Entry from the Alexandria database: a relaxed structure of BaHfS3 (GGA-PBE).

**Calculated density**: 5.13 g cm⁻³
**SG**: No. 11
**Formation energy from raw total energies**: -169.46 kJ per mole of atoms

Lattice parameters (Å, degrees): 7.544 7.438 5.033 90.00 109.04 90.00
Fractional coordinates of all 10 atoms:
S1 0.249 0.018 0.874
S2 0.751 0.982 0.126
S3 0.249 0.482 0.874
S4 0.751 0.518 0.126
S5 0.544 0.250 0.519
S6 0.456 0.750 0.481
Hf1 0.525 0.250 0.997
Hf2 0.475 0.750 0.003
Ba1 0.110 0.250 0.304
Ba2 0.890 0.750 0.696